Record 1
Below is a relaxed Ho2HgI2 crystal, with properties calculated at the GGA-PBE level.

```
Ho2HgI2
1.0
-0.5507 -2.9740 2.7832
3.2442 -1.6716 1.8906
0.1038 6.6924 10.2067
Ho Hg I
2 1 2
Direct
0.6141 0.6141 0.1577
0.3859 0.3859 0.8423
0.0000 0.0000 0.0000
0.2240 0.2240 0.3280
0.7760 0.7760 0.6720
```

Output
For the total magnetization, the calculation gives 0.0 μB per cell. The value obtained for the uncorrected formation energy is -89 kJ/mol of atoms.

Record 2
Below is a relaxed HoHg2I8 crystal, with properties calculated at the GGA-PBE level.

```
HoHg2I8
1.0
7.2541 -0.9234 -0.6450
-0.2519 8.7376 -1.7011
-0.2519 1.4098 8.7893
Ho Hg I
1 2 8
Direct
0.0000 0.0000 0.0000
0.6692 0.2134 0.2134
0.3308 0.7866 0.7866
0.2083 0.0747 0.7327
0.2083 0.7327 0.0747
0.7917 0.9253 0.2673
0.2184 0.5540 0.5540
0.7917 0.2673 0.9253
0.2787 0.2179 0.2179
0.7213 0.7821 0.7821
0.7816 0.4460 0.4460
```

Output
For the total magnetization, the calculation gives 0.9 μB per cell. The value obtained for the uncorrected formation energy is -57 kJ/mol of atoms.

Record 3
Below is a relaxed Ho2HgI crystal, with properties calculated at the GGA-PBE level.

```
Ho2HgI
1.0
3.7932 0.0000 0.0000
1.8966 3.2850 0.0000
1.8966 1.0950 9.1257
Ho Hg I
2 1 1
Direct
0.0808 0.0808 0.7576
0.2527 0.2527 0.2420
0.6668 0.6668 0.9996
0.4997 0.4997 0.5008
```

Output
The energy above the most stable polymorph in this dataset comes out at 0.0 kJ/mol of atoms. For the total magnetization, the calculation gives 0.0 μB per cell. The value obtained for the uncorrected formation energy is -53 kJ/mol of atoms.

Record 4
Below is a relaxed HoHgI3 crystal, with properties calculated at the GGA-PBE level.

```
HoHgI3
1.0
6.0195 0.0000 0.0000
0.0000 6.0195 0.0000
0.0000 0.0000 6.0195
I Hg Ho
3 1 1
Direct
0.0000 0.5000 0.0000
0.0000 0.0000 0.5000
0.5000 0.0000 0.0000
0.5000 0.5000 0.5000
0.0000 0.0000 0.0000
```

Output
The energy above the most stable polymorph in this dataset comes out at 6.4 kJ/mol of atoms. For the total magnetization, the calculation gives 0.0 μB per cell. The value obtained for the uncorrected formation energy is -93 kJ/mol of atoms.

Record 5
Below is a relaxed HoHgI6 crystal, with properties calculated at the GGA-PBE level.

```
HoHgI6
1.0
-1.3328 6.9030 2.3199
-1.2217 1.4101 7.9040
5.9128 2.5726 3.7460
Ho Hg I
1 1 6
Direct
0.5000 0.5000 0.5000
0.0000 0.0000 0.0000
0.0851 0.4650 0.7157
0.7552 0.0649 0.7532
0.5561 0.2681 0.2576
0.2448 0.9351 0.2468
0.9149 0.5350 0.2843
0.4439 0.7319 0.7424
```

Output
For the total magnetization, the calculation gives 0.0 μB per cell. The value obtained for the uncorrected formation energy is -62 kJ/mol of atoms.

Record 6
Below is a relaxed RbHoHgI6 crystal, with properties calculated at the GGA-PBE level.

```
RbHoHgI6
1.0
-4.8178 5.7597 -2.4575
-5.9362 -1.6265 -4.9937
-4.9043 -1.4032 6.3520
Rb Ho Hg I
1 1 1 6
Direct
0.9997 0.0001 0.0000
0.6650 0.6670 0.5000
0.3339 0.3332 0.5001
0.9961 0.3772 0.2813
0.3766 0.9959 0.7193
0.6282 0.3765 0.7168
0.9959 0.6268 0.7178
0.3764 0.6279 0.2812
0.6278 0.9954 0.2835
```

Output
For the total magnetization, the calculation gives 0.0 μB per cell. The value obtained for the uncorrected formation energy is -98 kJ/mol of atoms.

Record 7
Below is a relaxed Ho3In2Hg4 crystal, with properties calculated at the GGA-PBE level.

```
Ho3In2Hg4
1.0
-3.7275 -0.4472 3.1504
-1.6546 -0.3344 -5.8173
3.8352 -7.6839 3.4472
Ho In Hg
3 2 4
Direct
0.6654 0.3308 0.6716
0.0000 0.0000 0.0000
0.3346 0.6692 0.3284
0.6085 0.2171 0.2740
0.3915 0.7829 0.7260
0.6925 0.3849 0.0228
0.3075 0.6151 0.9772
0.9122 0.8243 0.5769
0.0878 0.1757 0.4231
```

Output
The formation energy from the elements comes out at -406.8 meV per atom. For the total magnetization, the calculation gives 0.0 μB per cell.

Record 8
Below is a relaxed Ho4InHg crystal, with properties calculated at the GGA-PBE level.

```
Ho4InHg
1.0
5.0945 0.0009 -0.0016
0.0007 5.0957 -0.0024
0.0035 0.0054 7.2920
Ho In Hg
4 1 1
Direct
0.5012 0.9970 0.2559
0.5014 0.9976 0.7403
0.0015 0.4975 0.7403
0.0011 0.4971 0.2560
0.5013 0.4973 0.9982
0.0013 0.9973 0.4981
```

Output
The formation energy from the elements comes out at -102.6 meV per atom. For the total magnetization, the calculation gives 0.0 μB per cell.